First-principles (PBEsol) data for a relaxed structure of RbTa2Tc, as listed in Alexandria via LeMat-Bulk.

Calculated values
calculated total energy = -125.5 eV for the cell shown
ΔH_f (0 K) = 1.506 eV/atom
Fermi-level density of states = 22.89 states/eV/cell
spin magnetization = 0.000 μB/atom

a = 6.654 Å, b = 6.654 Å, c = 6.654 Å
α = 90.00°, β = 90.00°, γ = 90.00°
Space group Fm-3m (No. 225)
Symmetry-distinct sites (fractional):
Rb: 0.000 0.000 0.000 (multiplicity 4)
Ta: 0.250 0.250 0.250 (multiplicity 8)
Tc: 0.000 0.000 0.500 (multiplicity 4)